Computed, not measured: a relaxed structure of AlReSi2 at the PBE level of DFT.

Cell and atoms, written as POSCAR:
```
AlReSi2
1.0
5.7561 0.0000 0.0000
0.0000 5.7561 0.0000
0.0000 0.0000 10.7298
Al Re Si
4 4 8
Direct
0.0000 0.0000 0.0000 Al
0.0000 0.5000 0.2500 Al
0.5000 0.0000 0.7500 Al
0.5000 0.5000 0.5000 Al
0.0000 0.0000 0.5000 Re
0.0000 0.5000 0.7500 Re
0.5000 0.0000 0.2500 Re
0.5000 0.5000 0.0000 Re
0.2231 0.2500 0.6250 Si
0.2500 0.7231 0.8750 Si
0.2500 0.7769 0.3750 Si
0.2769 0.2500 0.1250 Si
0.7231 0.7500 0.1250 Si
0.7500 0.2231 0.3750 Si
0.7500 0.2769 0.8750 Si
0.7769 0.7500 0.6250 Si
```

## Properties
- Magnetization: 0.000 μB/atom
- Formation energy (no corrections): 0.72 eV per atom